VASP calculation (PBE with a Hubbard U) on a geometry-optimized NaCaHfWO6 structure.

## Properties
Total energy   -7.620 eV per atom

a = 8.0745 Å, b = 8.0745 Å, c = 8.0745 Å
α = 90.00°, β = 90.00°, γ = 90.00°
With the nearest neighbours (Å) after each atom.
Space group F-43m (No. 216)
Symmetry-distinct sites (fractional):
Na 0.0000 0.0000 0.0000 [4 per cell]  12 O 2.86
Ca 0.0000 0.0000 0.5000 [4 per cell]  12 O 2.86
Hf 0.2500 0.2500 0.2500 [4 per cell]  6 O 2.06
W 0.2500 0.2500 0.7500 [4 per cell]  6 O 1.98
O 0.0048 0.2500 0.7500 [24 per cell]  1 W 1.98, 1 Hf 2.06